[1]
Computed, not measured: LaNd5Sb4 after structural relaxation at the PBE level of DFT.

a = 19.4128 Å, b = 4.4618 Å, c = 8.8404 Å
α = 90.00°, β = 105.51°, γ = 90.00°
Space group C2/m (No. 12)
Inequivalent atoms, fractional coordinates:
La (0.0000, 0.0000, 0.0000) (multiplicity 2)
Nd (0.0000, 0.0000, 0.5000) (multiplicity 2)
Nd (0.1625, 0.5000, 0.8323) (multiplicity 4)
Nd (0.1744, 0.5000, 0.3453) (multiplicity 4)
Sb (0.0072, 0.5000, 0.2599) (multiplicity 4)
Sb (0.1712, 0.0000, 0.0917) (multiplicity 4)

Results
Electronic total energy in eV/cell: -106.6

***

[2]
Computed, not measured: La5NdSb6 after structural relaxation at the PBE level of DFT.

a = 7.9857 Å, b = 13.8288 Å, c = 7.9846 Å
α = 90.00°, β = 109.48°, γ = 90.00°
Space group C2/m (No. 12)
Inequivalent atoms, fractional coordinates:
La (0.0000, 0.0000, 0.0000) (multiplicity 2)
La (0.0000, 0.1665, 0.5000) (multiplicity 4)
La (0.0000, 0.3327, 0.0000) (multiplicity 4)
Nd (0.0000, 0.5000, 0.5000) (multiplicity 2)
Sb (0.2482, 0.3345, 0.7483) (multiplicity 8)
Sb (0.2479, 0.5000, 0.2511) (multiplicity 4)

Results
Electronic total energy in eV/cell: -138.6